No. 1
LiThS2 | PBE | relaxed

```
data_LiThS2
_chemical_formula_sum 'Li3 Th3 S6'
_space_group_name_H-M_alt 'R 3 m'
_space_group_IT_number 160
_space_group_name_Hall 'R 3 -2"'
_cell_length_a 3.9058
_cell_length_b 3.9058
_cell_length_c 20.5671
_cell_angle_alpha 90.00
_cell_angle_beta 90.00
_cell_angle_gamma 120.00
loop_
_atom_site_label
_atom_site_type_symbol
_atom_site_fract_x
_atom_site_fract_y
_atom_site_fract_z
Li1 Li 0.0000 0.0000 0.0000
Th1 Th 0.0000 0.0000 0.1786
S1 S 0.0000 0.0000 0.5980
S2 S 0.0000 0.0000 0.7621
```

Values from the calculation:
Formation energy (no corrections), eV/atom: -1.573
VASP energy, eV per atom: -5.970
Spin magnetization, μB per atom: 0.000

No. 2
Pr2GaIr3 | PBE | relaxed

```
data_Pr2GaIr3
_chemical_formula_sum 'Pr4 Ga2 Ir6'
_space_group_name_H-M_alt 'P 63/m m c'
_space_group_IT_number 194
_space_group_name_Hall '-P 6c 2c'
_cell_length_a 5.6476
_cell_length_b 5.6476
_cell_length_c 8.3777
_cell_angle_alpha 90.00
_cell_angle_beta 90.00
_cell_angle_gamma 120.00
loop_
_atom_site_label
_atom_site_type_symbol
_atom_site_fract_x
_atom_site_fract_y
_atom_site_fract_z
Pr1 Pr 0.3333 0.6667 0.0647
Ga1 Ga 0.0000 0.0000 0.0000
Ir1 Ir 0.1692 0.3383 0.7500
```

Values from the calculation:
Energy of formation, meV/atom: -679
VASP energy, eV per atom: -7.207
Spin magnetization, μB per atom: 0.000

No. 3
Er3In3HgRh2 | PBE | relaxed

```
data_Er3In3HgRh2
_chemical_formula_sum 'Er3 In3 Hg1 Rh2'
_space_group_name_H-M_alt 'P -6 2 m'
_space_group_IT_number 189
_space_group_name_Hall 'P -6 -2'
_cell_length_a 7.9099
_cell_length_b 7.9099
_cell_length_c 3.6764
_cell_angle_alpha 90.00
_cell_angle_beta 90.00
_cell_angle_gamma 120.00
loop_
_atom_site_label
_atom_site_type_symbol
_atom_site_fract_x
_atom_site_fract_y
_atom_site_fract_z
Er1 Er 0.0000 0.3996 0.0000
In1 In 0.0000 0.7123 0.5000
Hg1 Hg 0.0000 0.0000 0.0000
Rh1 Rh 0.3333 0.6667 0.5000
```

Values from the calculation:
Energy of formation, meV/atom: -616
VASP energy, eV per atom: -4.717
Spin magnetization, μB per atom: 0.000

No. 4
Zr2TcPt | PBE | relaxed

```
data_Zr2TcPt
_chemical_formula_sum 'Zr2 Tc1 Pt1'
_space_group_name_H-M_alt 'P 4 m m'
_space_group_IT_number 99
_cell_length_a 2.855
_cell_length_b 2.855
_cell_length_c 9.096
_cell_angle_alpha 90.00
_cell_angle_beta 90.00
_cell_angle_gamma 90.00
loop_
_space_group_symop_operation_xyz
'x,y,z'
'-y,x,z'
'-x,-y,z'
'y,-x,z'
'-x,y,z'
'y,x,z'
'x,-y,z'
'-y,-x,z'
loop_
_atom_site_label
_atom_site_type_symbol
_atom_site_fract_x
_atom_site_fract_y
_atom_site_fract_z
Zr1 Zr 0.000 0.000 0.000
Zr2 Zr 0.500 0.500 0.297
Tc1 Tc 0.500 0.500 0.747
Pt1 Pt 0.000 0.000 0.544
```

Values from the calculation:
Energy of formation, meV/atom: -105
VASP energy, eV per atom: -8.481
Spin magnetization, μB per atom: 0.000

No. 5
ZrBeSb2Rh | PBE | relaxed

```
data_ZrBeSb2Rh
_chemical_formula_sum 'Zr1 Be1 Sb2 Rh1'
_space_group_name_H-M_alt 'P 4/m m m'
_space_group_IT_number 123
_space_group_name_Hall '-P 4 2'
_cell_length_a 5.399
_cell_length_b 5.399
_cell_length_c 4.607
_cell_angle_alpha 90.00
_cell_angle_beta 90.00
_cell_angle_gamma 90.00
loop_
_atom_site_label
_atom_site_type_symbol
_atom_site_fract_x
_atom_site_fract_y
_atom_site_fract_z
Zr1 Zr 0.000 0.000 0.000
Be1 Be 0.000 0.000 0.500
Sb1 Sb 0.000 0.500 0.000
Rh1 Rh 0.500 0.500 0.500
```

Values from the calculation:
Formation energy (no corrections), eV/atom: 1.121
VASP energy, eV per atom: -4.453
Spin magnetization, μB per atom: 0.000

No. 6
HgTe2NO | PBE | relaxed

```
data_HgTe2NO
_chemical_formula_sum 'Hg1 Te2 N1 O1'
_space_group_name_H-M_alt 'P 4/m m m'
_space_group_IT_number 123
_space_group_name_Hall '-P 4 2'
_cell_length_a 5.835
_cell_length_b 5.835
_cell_length_c 4.035
_cell_angle_alpha 90.00
_cell_angle_beta 90.00
_cell_angle_gamma 90.00
loop_
_atom_site_label
_atom_site_type_symbol
_atom_site_fract_x
_atom_site_fract_y
_atom_site_fract_z
Hg1 Hg 0.000 0.000 0.000
Te1 Te 0.000 0.500 0.000
N1 N 0.000 0.000 0.500
O1 O 0.500 0.500 0.500
```

Values from the calculation:
Formation energy (no corrections), eV/atom: 1.687
VASP energy, eV per atom: -2.286
Spin magnetization, μB per atom: 0.846

No. 7
LaInRh2 | PBE | relaxed

```
data_LaInRh2
_chemical_formula_sum 'La1 In1 Rh2'
_space_group_name_H-M_alt 'P 4/m m m'
_space_group_IT_number 123
_space_group_name_Hall '-P 4 2'
_cell_length_a 4.639
_cell_length_b 4.639
_cell_length_c 3.672
_cell_angle_alpha 90.00
_cell_angle_beta 90.00
_cell_angle_gamma 90.00
loop_
_atom_site_label
_atom_site_type_symbol
_atom_site_fract_x
_atom_site_fract_y
_atom_site_fract_z
La1 La 0.000 0.000 0.000
In1 In 0.500 0.500 0.000
Rh1 Rh 0.000 0.500 0.500
```

Values from the calculation:
Energy of formation, meV/atom: -613
VASP energy, eV per atom: -6.205
Spin magnetization, μB per atom: 0.000

No. 8
Rb2NbRhN | PBE | relaxed

```
data_Rb2NbRhN
_chemical_formula_sum 'Rb2 Nb1 Rh1 N1'
_space_group_name_H-M_alt 'P 4/m m m'
_space_group_IT_number 123
_space_group_name_Hall '-P 4 2'
_cell_length_a 6.596
_cell_length_b 6.596
_cell_length_c 4.794
_cell_angle_alpha 90.00
_cell_angle_beta 90.00
_cell_angle_gamma 90.00
loop_
_atom_site_label
_atom_site_type_symbol
_atom_site_fract_x
_atom_site_fract_y
_atom_site_fract_z
Rb1 Rb 0.000 0.500 0.000
Nb1 Nb 0.000 0.000 0.500
Rh1 Rh 0.000 0.000 0.000
N1 N 0.500 0.500 0.500
```

Values from the calculation:
Formation energy (no corrections), eV/atom: 1.640
VASP energy, eV per atom: -3.896
Spin magnetization, μB per atom: 0.196

No. 9
AlSe2BrF | PBE | relaxed

```
data_AlSe2BrF
_chemical_formula_sum 'Al1 Se2 Br1 F1'
_space_group_name_H-M_alt 'P 4/m m m'
_space_group_IT_number 123
_space_group_name_Hall '-P 4 2'
_cell_length_a 4.926
_cell_length_b 4.926
_cell_length_c 4.965
_cell_angle_alpha 90.00
_cell_angle_beta 90.00
_cell_angle_gamma 90.00
loop_
_atom_site_label
_atom_site_type_symbol
_atom_site_fract_x
_atom_site_fract_y
_atom_site_fract_z
Al1 Al 0.000 0.000 0.000
Se1 Se 0.000 0.500 0.000
Br1 Br 0.000 0.000 0.500
F1 F 0.500 0.500 0.500
```

Values from the calculation:
Formation energy (no corrections), eV/atom: -0.083
VASP energy, eV per atom: -2.935
Spin magnetization, μB per atom: 0.475

No. 10
AcAlZn2Cu | PBE | relaxed

```
data_AcAlZn2Cu
_chemical_formula_sum 'Ac2 Al2 Zn4 Cu2'
_space_group_name_H-M_alt 'I m m 2'
_space_group_IT_number 44
_cell_length_a 4.317
_cell_length_b 4.360
_cell_length_c 10.938
_cell_angle_alpha 90.00
_cell_angle_beta 90.00
_cell_angle_gamma 90.00
loop_
_space_group_symop_operation_xyz
'x,y,z'
'-x,-y,z'
'-x,y,z'
'x,-y,z'
'x+1/2,y+1/2,z+1/2'
'-x+1/2,-y+1/2,z+1/2'
'-x+1/2,y+1/2,z+1/2'
'x+1/2,-y+1/2,z+1/2'
loop_
_atom_site_label
_atom_site_type_symbol
_atom_site_fract_x
_atom_site_fract_y
_atom_site_fract_z
Ac1 Ac 0.000 0.000 0.000
Al1 Al 0.000 0.500 0.755
Zn1 Zn 0.000 0.000 0.616
Zn2 Zn 0.000 0.500 0.253
Cu1 Cu 0.000 0.000 0.378
```

Values from the calculation:
Energy of formation, meV/atom: -298
VASP energy, eV per atom: -3.197
Spin magnetization, μB per atom: 0.000

No. 11
GaReTc2 | PBE | relaxed

```
data_GaReTc2
_chemical_formula_sum 'Ga3 Re3 Tc6'
_space_group_name_H-M_alt 'R 3 m'
_space_group_IT_number 160
_space_group_name_Hall 'R 3 -2"'
_cell_length_a 4.1854
_cell_length_b 4.1854
_cell_length_c 12.9983
_cell_angle_alpha 90.00
_cell_angle_beta 90.00
_cell_angle_gamma 120.00
loop_
_atom_site_label
_atom_site_type_symbol
_atom_site_fract_x
_atom_site_fract_y
_atom_site_fract_z
Ga1 Ga 0.0000 0.0000 0.0000
Re1 Re 0.0000 0.0000 0.7984
Tc1 Tc 0.0000 0.0000 0.4003
Tc2 Tc 0.0000 0.0000 0.5864
```

Values from the calculation:
Energy of formation, meV/atom: 308
VASP energy, eV per atom: -8.744
Spin magnetization, μB per atom: 0.000

No. 12
Nd3Ni6Ge5 | PBE | relaxed

```
data_Nd3Ni6Ge5
_chemical_formula_sum 'Nd6 Ni12 Ge10'
_space_group_name_H-M_alt 'P m m n'
_space_group_IT_number 59
_cell_length_a 4.046
_cell_length_b 12.168
_cell_length_c 9.784
_cell_angle_alpha 90.00
_cell_angle_beta 90.00
_cell_angle_gamma 90.00
loop_
_space_group_symop_operation_xyz
'x,y,z'
'-x,-y,-z'
'-x+1/2,-y+1/2,z'
'x+1/2,y+1/2,-z'
'x+1/2,-y,-z'
'-x+1/2,y,z'
'-x,y+1/2,-z'
'x,-y+1/2,z'
loop_
_atom_site_label
_atom_site_type_symbol
_atom_site_fract_x
_atom_site_fract_y
_atom_site_fract_z
Nd1 Nd 0.250 0.086 0.249
Nd2 Nd 0.250 0.750 0.252
Ni1 Ni 0.250 0.060 0.898
Ni2 Ni 0.250 0.250 0.511
Ni3 Ni 0.250 0.250 0.995
Ni4 Ni 0.250 0.580 0.494
Ge1 Ge 0.250 0.080 0.639
Ge2 Ge 0.250 0.627 0.985
Ge3 Ge 0.250 0.750 0.618
```

Values from the calculation:
Energy of formation, meV/atom: -627
VASP energy, eV per atom: -5.775
Spin magnetization, μB per atom: 0.000